Entry from Alexandria via LeMat-Bulk: a relaxed SrErMg crystal (PBE).

a = 5.063 Å, b = 5.063 Å, c = 8.719 Å
α = 90.00°, β = 90.00°, γ = 90.00°
Fractional coordinates of all 6 atoms:
Sr: 0.250 0.250 0.159
Sr: 0.750 0.750 0.841
Er: 0.250 0.750 0.500
Er: 0.750 0.250 0.500
Mg: 0.250 0.250 0.737
Mg: 0.750 0.750 0.263

Summary:
- Space group: No. 129
- Offset from the most stable computed form: 17 meV/atom
- Energy of formation from the pure elements: 0.090 eV per atom